Entry 1:
Compound: NaPr2Ir
Source: Alexandria via LeMat-Bulk
Functional: PBE-GGA
Structure: optimized geometry

## Properties
DFT formation energy	-0.3285	eV/atom

Geometry as POSCAR:
```
NaPr2Ir
1.0
4.241 0.000 0.000
2.120 3.672 0.000
2.120 1.224 9.161
Ir Pr Na
1 2 1
Cartesian
4.241 2.448 0.011
2.120 1.224 1.489
2.120 1.224 7.684
4.241 2.448 4.557
```


Entry 2:
Compound: LaSbPb
Source: Alexandria via LeMat-Bulk
Functional: PBE-GGA
Structure: optimized geometry

## Properties
energy above the lowest structure with this stoichiometry	59.4	kJ/mol of formula units
formation energy (no corrections)	-0.499	eV/atom

Geometry as POSCAR:
```
LaSbPb
1.0
5.236 0.000 0.000
-2.618 4.534 0.000
0.000 0.000 4.046
Pb La Sb
1 1 1
Cartesian
2.618 1.511 2.015
0.000 0.000 0.000
0.000 3.023 2.031
```


Entry 3:
Compound: Dy3Y8Tm3
Source: Alexandria via LeMat-Bulk
Functional: PBE-GGA
Structure: optimized geometry

## Properties
DFT formation energy	0.1244	eV/atom

Geometry as POSCAR:
```
Dy3Y8Tm3
1.0
-1.467 -1.767 -5.124
6.652 -6.326 -2.801
-7.695 -5.635 1.069
Y Dy Tm
8 3 3
Cartesian
-0.440 -9.435 -5.851
-4.376 -8.322 -2.032
-2.070 -4.293 -1.005
1.999 -8.629 -3.752
1.865 -5.406 -4.824
-3.403 -9.292 -5.053
-4.510 -5.099 -3.104
0.892 -4.436 -1.804
4.071 -6.202 -2.105
-0.734 -0.883 -2.562
-5.114 -5.759 0.373
-1.255 -6.864 -3.428
-1.382 -3.828 -4.440
-1.129 -9.901 -2.416
```


Entry 4:
Compound: Pu2UCu
Source: Alexandria via LeMat-Bulk
Functional: PBE-GGA
Structure: optimized geometry

## Properties
energy above the lowest structure with this stoichiometry	0.0	kJ/mol of formula units
DFT formation energy	0.1582	eV/atom

Geometry as POSCAR:
```
Pu2UCu
1.0
-2.059 -1.550 -1.505
3.364 -0.726 -3.855
1.636 -4.357 2.248
U Pu Cu
1 2 1
Cartesian
1.471 -3.316 -1.556
0.818 -2.178 1.124
1.682 -0.363 -1.928
-1.029 -0.775 -0.752
```


Entry 5:
Compound: ScTc2
Source: Alexandria via LeMat-Bulk
Functional: PBE-GGA
Structure: optimized geometry

## Properties
energy above the lowest structure with this stoichiometry	64.1	kJ/mol of formula units
DFT formation energy	-0.0823	eV/atom

Geometry as POSCAR:
```
ScTc2
1.0
-0.003 1.483 -4.149
1.841 -3.889 0.948
-2.508 -1.300 -0.463
Sc Tc
1 2
Cartesian
0.000 0.000 0.000
0.339 -2.559 -0.915
-1.008 -1.147 -2.749
```


Entry 6:
Compound: TaRe3Pt
Source: Alexandria via LeMat-Bulk
Functional: PBE-GGA
Structure: optimized geometry

## Properties
energy above the lowest structure with this stoichiometry	24.3	kJ/mol of formula units
DFT formation energy	2.3808	eV/atom

Geometry as POSCAR:
```
TaRe3Pt
1.0
-1.219 3.450 -2.939
1.382 -2.616 -3.643
-4.316 -1.812 -0.337
Ta Re Pt
1 3 1
Cartesian
0.000 0.000 0.000
-0.609 1.725 -1.470
0.691 -1.308 -1.822
-2.158 -0.906 -0.168
-2.077 -0.489 -3.460
```


| no. | E_tot (eV/atom) | DOS at the Fermi energy (states/eV per atom) | V (Å³/atom) |
| --- | --- | --- | --- |
| 1 | -5.2633 | 0.704 | 35.67 |
| 2 | -4.7515 | 0.558 | 32.02 |
| 3 | -5.5137 | 1.645 | 32.08 |
| 4 | -10.8539 | 2.859 | 19.92 |
| 5 | -9.1035 | 0.980 | 16.04 |
| 6 | -8.6668 | 1.081 | 20.68 |